# 1
Below is a geometry-optimized VSiPd6 structure, with properties calculated at the PBE-GGA level.

* total DFT energy (no corrections): -47.92 eV per cell
* V: 121.9 Å³/f.u.
* formation energy (no corrections): -0.278 eV per atom
* theoretical density: 9.77 g/cm3
* space-group type: R-3

a b c (Å): 4.983 4.983 4.983
angles (deg): 95.38 95.38 95.38
Atoms (fractional coordinates):
1 V 0.000 0.000 0.000
2 Si 0.500 0.500 0.500
3 Pd 0.083 0.260 0.547
4 Pd 0.260 0.547 0.083
5 Pd 0.453 0.917 0.740
6 Pd 0.547 0.083 0.260
7 Pd 0.740 0.453 0.917
8 Pd 0.917 0.740 0.453

# 2
Below is a geometry-optimized VSi3Pd structure, with properties calculated at the PBE-GGA level.

* total DFT energy (no corrections): -27.81 eV per cell
* V: 93.1 Å³/f.u.
* formation energy (no corrections): 0.554 eV per atom
* theoretical density: 4.31 g/cm3
* space-group type: Pm-3m

a b c (Å): 4.532 4.532 4.532
angles (deg): 90.00 90.00 90.00
Atoms (fractional coordinates):
1 V 0.000 0.000 0.000
2 Si 0.000 0.000 0.500
3 Si 0.000 0.500 0.000
4 Si 0.500 0.000 0.000
5 Pd 0.500 0.500 0.500

# 3
Below is a geometry-optimized VSiPd structure, with properties calculated at the PBE-GGA level.

* total DFT energy (no corrections): -41.64 eV per cell
* V: 43.6 Å³/f.u.
* formation energy (no corrections): -0.363 eV per atom
* theoretical density: 7.07 g/cm3
* space-group type: R-3m

a b c (Å): 6.489 6.489 6.489
angles (deg): 36.64 36.64 36.64
Atoms (fractional coordinates):
1 V 0.142 0.142 0.142
2 V 0.858 0.858 0.858
3 Si 0.429 0.429 0.429
4 Si 0.571 0.571 0.571
5 Pd 0.289 0.289 0.289
6 Pd 0.711 0.711 0.711

# 4
Below is a geometry-optimized VSi2Pd2 structure, with properties calculated at the PBE-GGA level.

* total DFT energy (no corrections): -63.82 eV per cell
* V: 71.1 Å³/f.u.
* formation energy (no corrections): -0.312 eV per atom
* theoretical density: 7.48 g/cm3
* space-group type: P4/mbm

a b c (Å): 7.050 7.050 2.860
angles (deg): 90.00 90.00 90.00
Atoms (fractional coordinates):
1 V 0.000 0.000 0.000
2 V 0.500 0.500 0.000
3 Si 0.155 0.345 0.000
4 Si 0.345 0.845 0.000
5 Si 0.655 0.155 0.000
6 Si 0.845 0.655 0.000
7 Pd 0.144 0.644 0.500
8 Pd 0.356 0.144 0.500
9 Pd 0.644 0.856 0.500
10 Pd 0.856 0.356 0.500

# 5
Below is a geometry-optimized VSi2Pd structure, with properties calculated at the PBE-GGA level.

* total DFT energy (no corrections): -99.55 eV per cell
* V: 61.3 Å³/f.u.
* formation energy (no corrections): 0.067 eV per atom
* theoretical density: 5.79 g/cm3
* space-group type: I-42d

a b c (Å): 6.574 6.574 5.672
angles (deg): 90.00 90.00 90.00
Atoms (fractional coordinates):
1 V 0.000 0.000 0.000
2 V 0.000 0.500 0.250
3 V 0.500 0.000 0.750
4 V 0.500 0.500 0.500
5 Si 0.239 0.250 0.625
6 Si 0.250 0.739 0.875
7 Si 0.250 0.761 0.375
8 Si 0.261 0.250 0.125
9 Si 0.739 0.750 0.125
10 Si 0.750 0.239 0.375
11 Si 0.750 0.261 0.875
12 Si 0.761 0.750 0.625
13 Pd 0.000 0.000 0.500
14 Pd 0.000 0.500 0.750
15 Pd 0.500 0.000 0.250
16 Pd 0.500 0.500 0.000

# 6
Below is a geometry-optimized VSiPd structure, with properties calculated at the PBE-GGA level.

* total DFT energy (no corrections): -20.89 eV per cell
* V: 41.9 Å³/f.u.
* formation energy (no corrections): -0.387 eV per atom
* theoretical density: 7.35 g/cm3
* space-group type: P-6m2

a b c (Å): 4.176 4.176 2.772
angles (deg): 90.00 90.00 120.00
Atoms (fractional coordinates):
1 V 0.000 0.000 0.000
2 Si 0.333 0.667 0.500
3 Pd 0.667 0.333 0.500